Run A
A relaxed CeZrU crystal, computed with PBE.

abc: 2.843 2.843 16.890
angles: 90.00 90.00 90.00
Space group I4mm (No. 107)
Symmetry-distinct sites (fractional):
Ce (0.000, 0.000, 0.000) x2
Zr (0.000, 0.000, 0.330) x2
U (0.000, 0.000, 0.158) x2

---

Run B
A relaxed CeZrU crystal, computed with PBE.

abc: 5.3124 5.3124 3.0212
angles: 90.00 90.00 120.00
Space group P-6m2 (No. 187)
Symmetry-distinct sites (fractional):
Ce (0.0000, 0.0000, 0.0000) x1
Zr (0.3333, 0.6667, 0.5000) x1
U (0.6667, 0.3333, 0.5000) x1

---

Run C
A relaxed CeZrU crystal, computed with PBE.

abc: 5.8891 5.8891 42.1701
angles: 90.00 90.00 120.00
Space group R-3m (No. 166, hexagonal axes)
Symmetry-distinct sites (fractional):
Ce (0.0117, 0.5058, 0.2750) x18
Zr (0.0000, 0.0000, 0.2298) x6
Zr (0.0000, 0.0000, 0.3209) x6
Zr (0.0000, 0.0000, 0.4623) x6
U (0.0000, 0.0000, 0.0000) x3
U (0.0000, 0.0000, 0.1104) x6
U (0.0000, 0.5000, 0.5000) x9

---

Relative energies in meV per atom: run A 184; run B 39; run C 0

---

Run A
A relaxed CeZr2U crystal, computed with PBE.

abc: 3.1557 3.1557 33.3278
angles: 90.00 90.00 120.00
Space group R-3m (No. 166, hexagonal axes)
Symmetry-distinct sites (fractional):
Ce (0.0000, 0.0000, 0.0000) x3
Zr (0.0000, 0.0000, 0.2478) x6
U (0.0000, 0.0000, 0.5000) x3

---

Run B
A relaxed CeZr2U crystal, computed with PBE.

abc: 3.521 3.521 8.040
angles: 90.00 90.00 90.00
Space group P4/mmm (No. 123)
Symmetry-distinct sites (fractional):
Ce (0.000, 0.000, 0.000) x1
Zr (0.500, 0.500, 0.290) x2
U (0.000, 0.000, 0.500) x1

---

Relative energies in meV per atom: run A 0; run B 117

---

Run A
A relaxed CeZr2V crystal, computed with PBE.

abc: 3.305 3.305 7.984
angles: 90.00 90.00 90.00
Space group P4/mmm (No. 123)
Symmetry-distinct sites (fractional):
Ce (0.000, 0.000, 0.000) x1
Zr (0.500, 0.500, 0.298) x2
V (0.000, 0.000, 0.500) x1

---

Run B
A relaxed CeZr2V crystal, computed with PBE.

abc: 3.1061 3.1061 31.4540
angles: 90.00 90.00 120.00
Space group R-3m (No. 166, hexagonal axes)
Symmetry-distinct sites (fractional):
Ce (0.0000, 0.0000, 0.0000) x3
Zr (0.0000, 0.0000, 0.0971) x6
V (0.0000, 0.0000, 0.5000) x3

---

Relative energies in meV per atom: run A 0; run B 142

---

Run A
A relaxed CeY2Zn crystal, computed with PBE.

abc: 3.3928 3.3928 33.8686
angles: 90.00 90.00 120.00
Space group R-3m (No. 166, hexagonal axes)
Symmetry-distinct sites (fractional):
Ce (0.0000, 0.0000, 0.0000) x3
Y (0.0000, 0.0000, 0.0990) x6
Zn (0.0000, 0.0000, 0.5000) x3

---

Run B
A relaxed CeY2Zn crystal, computed with PBE.

abc: 4.798 4.798 4.662
angles: 90.00 90.00 90.00
Space group P4/mmm (No. 123)
Symmetry-distinct sites (fractional):
Ce (0.000, 0.000, 0.000) x1
Y (0.000, 0.500, 0.500) x2
Zn (0.500, 0.500, 0.000) x1

---

Relative energies in meV per atom: run A 117; run B 0

---

Run A
A relaxed CeY2Zn crystal, computed with PBE.

abc: 3.531 3.531 8.722
angles: 90.00 90.00 90.00
Space group P4/mmm (No. 123)
Symmetry-distinct sites (fractional):
Ce (0.000, 0.000, 0.000) x1
Y (0.500, 0.500, 0.292) x2
Zn (0.000, 0.000, 0.500) x1

---

Run B
A relaxed CeY2Zn crystal, computed with PBE.

abc: 3.5687 3.5687 31.0387
angles: 90.00 90.00 120.00
Space group R3m (No. 160, hexagonal axes)
Symmetry-distinct sites (fractional):
Ce (0.0000, 0.0000, 0.0000) x3
Y (0.0000, 0.0000, 0.5712) x3
Y (0.0000, 0.0000, 0.7613) x3
Zn (0.0000, 0.0000, 0.1659) x3

---

Relative energies in meV per atom: run A 0; run B 108

---

Run A
A relaxed Ce2YZn crystal, computed with PBE.

abc: 7.573 7.573 7.573
angles: 90.00 90.00 90.00
Space group Fm-3m (No. 225)
Symmetry-distinct sites (fractional):
Ce (0.250, 0.250, 0.250) x8
Y (0.000, 0.000, 0.000) x4
Zn (0.000, 0.000, 0.500) x4

---

Run B
A relaxed Ce2YZn crystal, computed with PBE.

abc: 3.770 3.770 7.813
angles: 90.00 90.00 90.00
Space group P4/mmm (No. 123)
Symmetry-distinct sites (fractional):
Ce (0.000, 0.000, 0.195) x2
Y (0.500, 0.500, 0.500) x1
Zn (0.500, 0.500, 0.000) x1

---

Relative energies in meV per atom: run A 154; run B 0

---

Run A
A relaxed CeYZr2 crystal, computed with PBE.

abc: 3.900 3.900 6.942
angles: 90.00 90.00 90.00
Space group P4/mmm (No. 123)
Symmetry-distinct sites (fractional):
Ce (0.000, 0.000, 0.000) x1
Y (0.000, 0.000, 0.500) x1
Zr (0.500, 0.500, 0.215) x2

---

Run B
A relaxed CeYZr2 crystal, computed with PBE.

abc: 4.714 4.714 4.752
angles: 90.00 90.00 90.00
Space group P4/mmm (No. 123)
Symmetry-distinct sites (fractional):
Ce (0.000, 0.000, 0.000) x1
Y (0.500, 0.500, 0.000) x1
Zr (0.000, 0.500, 0.500) x2

---

Run C
A relaxed CeYZr2 crystal, computed with PBE.

abc: 3.2836 3.2836 34.6007
angles: 90.00 90.00 120.00
Space group R-3m (No. 166, hexagonal axes)
Symmetry-distinct sites (fractional):
Ce (0.0000, 0.0000, 0.0000) x3
Y (0.0000, 0.0000, 0.5000) x3
Zr (0.0000, 0.0000, 0.4098) x6

---

Relative energies in meV per atom: run A 16; run B 0; run C 165

---

Run A
A relaxed Ce2YZr crystal, computed with PBE.

abc: 3.2420 3.2420 36.0681
angles: 90.00 90.00 120.00
Space group R-3m (No. 166, hexagonal axes)
Symmetry-distinct sites (fractional):
Ce (0.0000, 0.0000, 0.0816) x6
Y (0.0000, 0.0000, 0.5000) x3
Zr (0.0000, 0.0000, 0.0000) x3

---

Run B
A relaxed Ce2YZr crystal, computed with PBE.

abc: 3.300 3.300 10.229
angles: 90.00 90.00 90.00
Space group P4/mmm (No. 123)
Symmetry-distinct sites (fractional):
Ce (0.000, 0.000, 0.235) x2
Y (0.500, 0.500, 0.500) x1
Zr (0.500, 0.500, 0.000) x1

---

Run C
A relaxed Ce2YZr crystal, computed with PBE.

abc: 4.700 4.700 5.027
angles: 90.00 90.00 90.00
Space group P4/mmm (No. 123)
Symmetry-distinct sites (fractional):
Ce (0.000, 0.500, 0.000) x2
Y (0.000, 0.000, 0.500) x1
Zr (0.500, 0.500, 0.500) x1

---

Relative energies in meV per atom: run A 164; run B 0; run C 21

---

Run A
A relaxed CeZr2Zn crystal, computed with PBE.

abc: 6.984 6.984 6.984
angles: 90.00 90.00 90.00
Space group Fm-3m (No. 225)
Symmetry-distinct sites (fractional):
Ce (0.000, 0.000, 0.000) x4
Zr (0.250, 0.250, 0.250) x8
Zn (0.000, 0.000, 0.500) x4

---

Run B
A relaxed CeZr2Zn crystal, computed with PBE.

abc: 4.548 4.548 4.228
angles: 90.00 90.00 90.00
Space group P4/mmm (No. 123)
Symmetry-distinct sites (fractional):
Ce (0.000, 0.000, 0.000) x1
Zr (0.000, 0.500, 0.500) x2
Zn (0.500, 0.500, 0.000) x1

---

Relative energies in meV per atom: run A 147; run B 0

---

Run A
A relaxed CeZr2Zn crystal, computed with PBE.

abc: 7.093 7.093 7.093
angles: 90.00 90.00 90.00
Space group F-43m (No. 216)
Symmetry-distinct sites (fractional):
Ce (0.000, 0.000, 0.000) x4
Zr (0.000, 0.000, 0.500) x4
Zr (0.250, 0.250, 0.250) x4
Zn (0.250, 0.250, 0.750) x4

---

Run B
A relaxed CeZr2Zn crystal, computed with PBE.

abc: 3.187 3.187 8.739
angles: 90.00 90.00 90.00
Space group P4/mmm (No. 123)
Symmetry-distinct sites (fractional):
Ce (0.000, 0.000, 0.000) x1
Zr (0.500, 0.500, 0.288) x2
Zn (0.000, 0.000, 0.500) x1

---

Relative energies in meV per atom: run A 61; run B 0

---

Run A
A relaxed Ce2Zr crystal, computed with PBE.

abc: 8.545 8.545 8.545
angles: 90.00 90.00 90.00
Space group Fd-3m (No. 227, origin choice 2)
Symmetry-distinct sites (fractional):
Ce (0.000, 0.000, 0.000) x16
Zr (0.125, 0.125, 0.625) x8

---

Run B
A relaxed Ce2Zr crystal, computed with PBE.

abc: 5.538 5.550 5.684
angles: 90.00 119.00 90.00
Space group C2/m (No. 12)
Symmetry-distinct sites (fractional):
Ce (0.167, 0.000, 0.334) x4
Zr (0.000, 0.500, 0.000) x2

---

Run C
A relaxed Ce2Zr crystal, computed with PBE.

abc: 10.368 4.714 6.596
angles: 90.00 107.98 90.00
Space group C2/m (No. 12)
Symmetry-distinct sites (fractional):
Ce (0.006, 0.000, 0.245) x4
Ce (0.168, 0.500, 0.577) x4
Zr (0.169, 0.500, 0.066) x4

---

Relative energies in meV per atom: run A 301; run B 93; run C 0